A relaxed structure of BaCd2Ir2, computed with PBE.

Calculated values
E_form ... -0.059 eV/atom
N(E_F) ... 0.37 states/eV/f.u.
Energy above the lowest structure with this stoichiometry ... 0.0 kJ/mol of formula units

a b c (Å): 6.4659 6.4659 6.4659
angles (deg): 137.95 137.95 60.98
Last column: nearest neighbours and their distance in Å.
Sites, in units of the cell vectors:
Ba 0.0000 0.0000 0.0000  8 Ir 3.49, 8 Cd 3.63
Cd 0.2500 0.7500 0.5000  4 Ir 2.81
Cd 0.7500 0.2500 0.5000  4 Ir 2.81
Ir 0.3921 0.3921 0.0000  1 Ir 2.40
Ir 0.6079 0.6079 0.0000  1 Ir 2.40